{
  "formula": "CaCoAs2O8",
  "functional": "GGA+U",
  "state": "relaxed",
  "total_magnetization_mub_per_cell": 5.08,
  "mass_density_g_cm3": 4.03,
  "dos_at_fermi_per_ev_cell": 8.76,
  "final_energy_ev_per_atom": -5.8933,
  "cell": [[-1.679, -5.120, 2.386], [5.526, 1.764, 1.036], [-3.471, 4.106, 2.411]],
  "species": ["As", "As", "O", "O", "O", "O", "O", "O", "O", "O", "Co", "Ca"],
  "frac_coords": [[0.750, 0.250, 0.500], [0.500, 0.500, 0.000], [0.730, 0.056, 0.675], [0.381, 0.056, 0.325], [0.944, 0.619, 0.675], [0.327, 0.518, 0.191], [0.864, 0.673, 0.191], [0.482, 0.673, 0.809], [0.327, 0.136, 0.809], [0.944, 0.270, 0.325], [0.250, 0.750, 0.500], [0.000, 0.000, 0.000]]
}


{
  "formula": "Ca2CoAsO6",
  "functional": "GGA+U",
  "state": "relaxed",
  "total_magnetization_mub_per_cell": 4.01,
  "mass_density_g_cm3": 4.08,
  "final_energy_ev_per_atom": -6.2367,
  "cell": [[-4.099, -2.211, -0.699], [2.148, -4.459, 1.506], [-1.368, 0.992, 4.889]],
  "species": ["O", "O", "O", "O", "O", "O", "Ca", "Ca", "Co", "As"],
  "frac_coords": [[0.708, 0.240, 0.760], [0.227, 0.000, 0.000], [0.708, 0.760, 0.240], [0.708, 0.760, 0.760], [0.708, 0.240, 0.240], [0.189, 0.500, 0.500], [0.022, 0.000, 0.500], [0.022, 0.500, 0.000], [0.560, 0.500, 0.500], [0.597, 0.000, 0.000]]
}


{
  "formula": "CaCoAsO5",
  "functional": "GGA+U",
  "state": "relaxed",
  "total_magnetization_mub_per_cell": 8.12,
  "mass_density_g_cm3": 4.22,
  "final_energy_ev_per_atom": -6.2426,
  "cell": [[-4.043, -2.503, -3.376], [5.315, -1.438, -5.299], [1.691, -7.917, 3.845]],
  "species": ["O", "O", "O", "O", "O", "O", "O", "O", "O", "O", "O", "O", "O", "O", "O", "O", "O", "O", "O", "O", "As", "As", "As", "As", "Co", "Co", "Co", "Co", "Ca", "Ca", "Ca", "Ca"],
  "frac_coords": [[0.002, 0.364, 0.574], [0.498, 0.636, 0.074], [0.257, 0.626, 0.785], [0.748, 0.415, 0.312], [0.743, 0.126, 0.715], [0.510, 0.918, 0.922], [0.010, 0.582, 0.078], [0.243, 0.374, 0.285], [0.414, 0.266, 0.924], [0.502, 0.136, 0.426], [0.757, 0.874, 0.215], [0.990, 0.082, 0.422], [0.586, 0.766, 0.576], [0.248, 0.085, 0.688], [0.490, 0.418, 0.578], [0.914, 0.234, 0.076], [0.998, 0.864, 0.926], [0.086, 0.734, 0.424], [0.252, 0.915, 0.188], [0.752, 0.585, 0.812], [0.483, 0.100, 0.805], [0.983, 0.400, 0.195], [0.517, 0.600, 0.695], [0.017, 0.900, 0.305], [0.246, 0.246, 0.498], [0.746, 0.254, 0.502], [0.254, 0.754, 0.998], [0.754, 0.746, 0.002], [0.975, 0.846, 0.665], [0.525, 0.154, 0.165], [0.475, 0.654, 0.335], [0.025, 0.346, 0.835]]
}


{
  "formula": "Ca3Co3As4O16",
  "functional": "GGA+U",
  "state": "relaxed",
  "total_magnetization_mub_per_cell": 17.95,
  "mass_density_g_cm3": 3.87,
  "dos_at_fermi_per_ev_cell": 0.00,
  "final_energy_ev_per_atom": -6.3159,
  "cell": [[5.159, 0.000, 0.000], [0.000, 9.178, -0.013], [0.000, -1.415, 15.449]],
  "species": ["Ca", "Ca", "Ca", "Ca", "Ca", "Ca", "O", "O", "O", "O", "O", "O", "O", "O", "O", "O", "O", "O", "O", "O", "O", "O", "O", "O", "O", "O", "O", "O", "O", "O", "O", "O", "O", "O", "O", "O", "O", "O", "As", "As", "As", "As", "As", "As", "As", "As", "Co", "Co", "Co", "Co", "Co", "Co"],
  "frac_coords": [[0.000, 0.000, 0.000], [0.536, 0.460, 0.770], [0.500, 0.500, 0.500], [0.964, 0.960, 0.270], [0.464, 0.540, 0.230], [0.036, 0.040, 0.730], [0.550, 0.070, 0.259], [0.383, 0.254, 0.688], [0.407, 0.704, 0.852], [0.704, 0.999, 0.417], [0.296, 0.001, 0.583], [0.442, 0.252, 0.506], [0.907, 0.796, 0.648], [0.348, 0.615, 0.641], [0.450, 0.930, 0.741], [0.883, 0.246, 0.812], [0.058, 0.752, 0.006], [0.942, 0.248, 0.994], [0.050, 0.430, 0.241], [0.799, 0.092, 0.603], [0.856, 0.491, 0.589], [0.701, 0.592, 0.103], [0.117, 0.754, 0.188], [0.644, 0.991, 0.089], [0.950, 0.570, 0.759], [0.152, 0.115, 0.141], [0.201, 0.908, 0.397], [0.796, 0.499, 0.917], [0.593, 0.296, 0.148], [0.558, 0.748, 0.494], [0.144, 0.509, 0.411], [0.848, 0.885, 0.859], [0.299, 0.408, 0.897], [0.617, 0.746, 0.312], [0.204, 0.501, 0.083], [0.093, 0.204, 0.352], [0.652, 0.385, 0.359], [0.356, 0.009, 0.911], [0.988, 0.382, 0.345], [0.512, 0.839, 0.405], [0.988, 0.339, 0.905], [0.488, 0.118, 0.155], [0.012, 0.661, 0.095], [0.512, 0.882, 0.845], [0.012, 0.618, 0.655], [0.488, 0.161, 0.595], [0.021, 0.676, 0.875], [0.479, 0.176, 0.375], [0.500, 0.500, 0.000], [0.521, 0.824, 0.625], [0.979, 0.324, 0.125], [0.000, 0.000, 0.500]]
}


{
  "formula": "Ca2CoAs2O10",
  "functional": "GGA+U",
  "state": "relaxed",
  "total_magnetization_mub_per_cell": 5.04,
  "mass_density_g_cm3": 3.59,
  "final_energy_ev_per_atom": -6.0078,
  "cell": [[5.027, -0.074, -0.065], [-2.367, 6.101, 0.096], [-0.967, -2.218, 6.800]],
  "species": ["Ca", "Ca", "O", "O", "O", "O", "O", "O", "O", "O", "O", "O", "Co", "As", "As"],
  "frac_coords": [[0.379, 0.730, 0.281], [0.621, 0.270, 0.719], [0.718, 0.579, 0.337], [0.010, 0.669, 0.858], [0.904, 0.044, 0.775], [0.096, 0.956, 0.225], [0.613, 0.140, 0.381], [0.990, 0.331, 0.142], [0.387, 0.860, 0.619], [0.602, 0.819, 0.996], [0.282, 0.421, 0.663], [0.398, 0.181, 0.004], [0.000, 0.000, 0.000], [0.320, 0.690, 0.772], [0.680, 0.310, 0.228]]
}